1.
DFT (PBE-GGA) results for crystalline RbIF3 at its relaxed geometry.

```
RbIF3
1.0
3.827 2.209 3.320
-3.827 2.209 3.320
0.000 -4.419 3.320
Rb I F
1 1 3
direct
0.000 0.000 0.000
0.370 0.370 0.370
0.096 0.096 0.511
0.096 0.511 0.096
0.511 0.096 0.096
```

Output
**Energy above the lowest structure with this stoichiometry**: 0.4194 eV/atom
**ΔE_f (raw)**: -1360.7 meV/atom

***

2.
DFT (PBE-GGA) results for crystalline ZrZnS2 at its relaxed geometry.

```
ZrZnS2
1.0
1.787 1.031 7.991
-1.787 1.031 7.991
0.000 -2.063 7.991
Zr Zn S
1 1 2
direct
0.000 0.000 0.000
0.500 0.500 0.500
0.398 0.398 0.398
0.602 0.602 0.602
```

Output
**ΔE_f (raw)**: -974.8 meV/atom

***

3.
DFT (PBE-GGA) results for crystalline CoRe2As at its relaxed geometry.

```
CoRe2As
1.0
2.646 -4.181 0.000
2.646 4.181 0.000
-1.043 0.000 2.589
Co Re As
1 2 1
direct
0.000 0.000 0.000
0.000 0.500 0.500
0.500 0.000 0.500
0.500 0.500 0.000
```

Output
**E_form**: 496 meV per atom

***

4.
DFT (PBE-GGA) results for crystalline Zn2TcCl at its relaxed geometry.

```
Zn2TcCl
1.0
-3.702 3.702 2.560
3.702 -3.702 2.560
3.702 3.702 -2.560
Zn Tc Cl
4 2 2
direct
0.114 0.125 0.488
0.375 0.886 0.012
0.636 0.625 0.511
0.875 0.364 0.988
0.000 0.000 0.000
0.750 0.250 0.500
0.250 0.750 0.500
0.500 0.500 0.000
```

Output
**Energy above the lowest structure with this stoichiometry**: 0.4771 eV/atom
**ΔE_f (raw)**: 518.2 meV/atom

***

5.
DFT (PBE-GGA) results for crystalline Sr2TaMn at its relaxed geometry.

```
Sr2TaMn
1.0
0.000 3.763 3.763
3.763 0.000 3.763
3.763 3.763 0.000
Sr Ta Mn
2 1 1
direct
0.000 0.000 0.000
0.250 0.250 0.250
0.750 0.750 0.750
0.500 0.500 0.500
```

Output
**Energy above the lowest structure with this stoichiometry**: 0.5594 eV/atom
**E_form**: 1035 meV per atom

***

6.
DFT (PBE-GGA) results for crystalline ScTaMo at its relaxed geometry.

```
ScTaMo
1.0
4.965 -2.343 0.000
4.965 2.343 0.000
-3.209 0.000 4.711
Sc Ta Mo
2 2 2
direct
0.020 0.020 0.269
0.980 0.980 0.731
0.324 0.324 0.897
0.676 0.676 0.103
0.343 0.343 0.405
0.657 0.657 0.595
```

Output
**Energy above the lowest structure with this stoichiometry**: 0.0000 eV/atom
**E_form**: 31 meV per atom

***

7.
DFT (PBE-GGA) results for crystalline CsCeTeBr2 at its relaxed geometry.

```
CsCeTeBr2
1.0
2.302 -10.024 0.000
2.302 10.024 0.000
0.000 0.000 9.062
Cs Ce Te Br
2 2 2 4
direct
0.208 0.792 0.750
0.792 0.208 0.250
0.500 0.500 0.000
0.500 0.500 0.500
0.006 0.994 0.750
0.994 0.006 0.250
0.356 0.644 0.517
0.356 0.644 0.983
0.644 0.356 0.017
0.644 0.356 0.483
```

Output
**ΔE_f (raw)**: -1627.1 meV/atom

***

8.
DFT (PBE-GGA) results for crystalline K2SrEu at its relaxed geometry.

```
K2SrEu
1.0
2.094 1.209 15.721
-2.094 1.209 15.721
0.000 -2.418 15.721
K Sr Eu
2 1 1
direct
0.086 0.086 0.086
0.914 0.914 0.914
0.500 0.500 0.500
0.000 0.000 0.000
```

Output
**E_form**: 195 meV per atom

***

9.
DFT (PBE-GGA) results for crystalline Ti2GeRuSe at its relaxed geometry.

```
Ti2GeRuSe
1.0
4.773 0.000 0.000
0.000 4.773 0.000
0.000 0.000 4.630
Ti Ge Ru Se
2 1 1 1
direct
0.000 0.500 0.000
0.500 0.000 0.000
0.000 0.000 0.500
0.500 0.500 0.500
0.500 0.500 0.000
```

Output
**ΔE_f (raw)**: 327.6 meV/atom

***

10.
DFT (PBE-GGA) results for crystalline HfNi2Sn at its relaxed geometry.

```
HfNi2Sn
1.0
4.336 0.000 0.000
0.000 4.336 0.000
0.000 0.000 3.385
Hf Ni Sn
1 2 1
direct
0.000 0.000 0.000
0.000 0.500 0.500
0.500 0.000 0.500
0.500 0.500 0.000
```

Output
**E_form**: -331 meV per atom

***

11.
DFT (PBE-GGA) results for crystalline Ca3Er2AgTe6 at its relaxed geometry.

```
Ca3Er2AgTe6
1.0
3.845 -6.651 0.000
3.845 6.651 0.000
-2.560 0.000 7.193
Ca Er Ag Te
3 2 1 6
direct
0.000 0.000 0.000
0.335 0.665 0.000
0.665 0.335 0.000
0.167 0.833 0.500
0.833 0.167 0.500
0.500 0.500 0.500
0.084 0.420 0.260
0.244 0.244 0.738
0.420 0.084 0.260
0.580 0.916 0.740
0.756 0.756 0.262
0.916 0.580 0.740
```

Output
**ΔE_f (raw)**: -1287.1 meV/atom

***

12.
DFT (PBE-GGA) results for crystalline Tl2ZnPd2 at its relaxed geometry.

```
Tl2ZnPd2
1.0
6.847 0.000 0.000
0.000 6.847 0.000
0.000 0.000 4.253
Tl Zn Pd
4 2 4
direct
0.163 0.337 0.000
0.337 0.837 0.000
0.663 0.163 0.000
0.837 0.663 0.000
0.000 0.000 0.500
0.500 0.500 0.500
0.149 0.649 0.500
0.351 0.149 0.500
0.649 0.851 0.500
0.851 0.351 0.500
```

Output
**Energy above the lowest structure with this stoichiometry**: 0.0000 eV/atom
**E_form**: -137 meV per atom

***

| no. | total energy (eV/atom) |
| --- | --- |
| 1 | -2.99 |
| 2 | -5.49 |
| 3 | -8.67 |
| 4 | -3.17 |
| 5 | -5.06 |
| 6 | -9.64 |
| 7 | -4.28 |
| 8 | -3.34 |
| 9 | -6.31 |
| 10 | -6.71 |
| 11 | -4.36 |
| 12 | -3.42 |